(1)
First-principles (PBE) data for a relaxed Sc2FeAu crystal, as listed in Alexandria via LeMat-Bulk.

Properties
DFT total energy (eV/atom): -6.37
Calculated volume (A^3/atom): 18.00
DOS at the Fermi energy (states/eV/atom): 0.980

Cell: 5.379 5.379 5.379 Å, 139.48 133.87 63.05°
Fractional positions:
Sc (0.000, 0.000, 0.000)
Sc (0.737, 0.237, 0.500)
Fe (0.498, 0.498, 0.000)
Au (0.254, 0.754, 0.500)

---

(2)
First-principles (PBE) data for a relaxed Dy3VPt12 crystal, as listed in Alexandria via LeMat-Bulk.

Properties
DFT total energy (eV/atom): -6.85
Calculated volume (A^3/atom): 16.84
DOS at the Fermi energy (states/eV/atom): 0.765

Cell: 4.066 4.066 16.299 Å, 90.00 90.00 90.00°
Fractional positions:
Dy (0.000, 0.000, 0.000)
Dy (0.000, 0.000, 0.254)
Dy (0.000, 0.000, 0.746)
V (0.000, 0.000, 0.500)
Pt (0.000, 0.500, 0.128)
Pt (0.000, 0.500, 0.388)
Pt (0.000, 0.500, 0.612)
Pt (0.000, 0.500, 0.872)
Pt (0.500, 0.000, 0.128)
Pt (0.500, 0.000, 0.388)
Pt (0.500, 0.000, 0.612)
Pt (0.500, 0.000, 0.872)
Pt (0.500, 0.500, 0.000)
Pt (0.500, 0.500, 0.258)
Pt (0.500, 0.500, 0.500)
Pt (0.500, 0.500, 0.742)

---

(3)
First-principles (PBE) data for a relaxed SiH2Rh2 crystal, as listed in Alexandria via LeMat-Bulk.

Properties
DFT total energy (eV/atom): -5.55
Calculated volume (A^3/atom): 9.64
DOS at the Fermi energy (states/eV/atom): 0.123

Cell: 5.773 5.773 2.893 Å, 90.00 90.00 90.00°
Fractional positions:
Si (0.000, 0.000, 0.000)
Si (0.500, 0.500, 0.000)
H (0.084, 0.416, 0.000)
H (0.416, 0.916, 0.000)
H (0.584, 0.084, 0.000)
H (0.916, 0.584, 0.000)
Rh (0.193, 0.307, 0.500)
Rh (0.307, 0.807, 0.500)
Rh (0.693, 0.193, 0.500)
Rh (0.807, 0.693, 0.500)

---

(4)
First-principles (PBE) data for a relaxed Ba2SrAgN crystal, as listed in Alexandria via LeMat-Bulk.

Properties
E_form (uncorrected) (meV/atom): -273
Calculated volume (A^3/atom): 33.43
DOS at the Fermi energy (states/eV/atom): 0.571

Cell: 5.656 5.656 5.224 Å, 90.00 90.00 90.00°
Fractional positions:
Ba (0.000, 0.500, 0.000)
Ba (0.500, 0.000, 0.000)
Sr (0.000, 0.000, 0.500)
Ag (0.500, 0.500, 0.500)
N (0.000, 0.000, 0.000)

---

(5)
First-principles (PBE) data for a relaxed SrCa2IrF crystal, as listed in Alexandria via LeMat-Bulk.

Properties
E_form (uncorrected) (meV/atom): 645
Calculated volume (A^3/atom): 43.85
DOS at the Fermi energy (states/eV/atom): 0.982

Cell: 6.630 6.630 4.988 Å, 90.00 90.00 90.00°
Fractional positions:
Sr (0.000, 0.000, 0.000)
Ca (0.000, 0.500, 0.000)
Ca (0.500, 0.000, 0.000)
Ir (0.000, 0.000, 0.500)
F (0.500, 0.500, 0.500)

---

(6)
First-principles (PBE) data for a relaxed NdDy5Zn6 crystal, as listed in Alexandria via LeMat-Bulk.

Properties
DFT total energy (eV/atom): -3.28
Calculated volume (A^3/atom): 23.06
DOS at the Fermi energy (states/eV/atom): 1.191

Cell: 5.060 7.195 8.009 Å, 90.00 108.35 90.00°
Fractional positions:
Nd (0.000, 0.000, 0.000)
Dy (0.000, 0.500, 0.000)
Dy (0.332, 0.000, 0.664)
Dy (0.335, 0.500, 0.670)
Dy (0.665, 0.500, 0.330)
Dy (0.668, 0.000, 0.336)
Zn (0.169, 0.256, 0.339)
Zn (0.169, 0.744, 0.339)
Zn (0.500, 0.256, 0.000)
Zn (0.500, 0.744, 0.000)
Zn (0.831, 0.256, 0.661)
Zn (0.831, 0.744, 0.661)

---

(7)
First-principles (PBE) data for a relaxed BaTl2Cd crystal, as listed in Alexandria via LeMat-Bulk.

Properties
DFT total energy (eV/atom): -2.19
Calculated volume (A^3/atom): 32.43
DOS at the Fermi energy (states/eV/atom): 0.550

Cell: 7.825 5.361 12.371 Å, 90.00 90.00 90.00°
Fractional positions:
Ba (0.243, 0.250, 0.153)
Ba (0.257, 0.750, 0.653)
Ba (0.743, 0.250, 0.347)
Ba (0.757, 0.750, 0.847)
Tl (0.055, 0.250, 0.868)
Tl (0.235, 0.250, 0.452)
Tl (0.265, 0.750, 0.952)
Tl (0.445, 0.750, 0.368)
Tl (0.555, 0.250, 0.632)
Tl (0.735, 0.250, 0.048)
Tl (0.765, 0.750, 0.548)
Tl (0.945, 0.750, 0.132)
Cd (0.051, 0.750, 0.371)
Cd (0.449, 0.250, 0.871)
Cd (0.551, 0.750, 0.129)
Cd (0.949, 0.250, 0.629)

---

(8)
First-principles (PBE) data for a relaxed CsHg3Pt crystal, as listed in Alexandria via LeMat-Bulk.

Properties
DFT total energy (eV/atom): -1.61
Calculated volume (A^3/atom): 36.86
DOS at the Fermi energy (states/eV/atom): 0.267

Cell: 10.568 10.568 5.991 Å, 90.00 90.00 146.57°
Fractional positions:
Cs (0.107, 0.893, 0.750)
Cs (0.893, 0.107, 0.250)
Hg (0.022, 0.458, 0.750)
Hg (0.458, 0.022, 0.250)
Hg (0.500, 0.500, 0.000)
Hg (0.500, 0.500, 0.500)
Hg (0.542, 0.978, 0.750)
Hg (0.978, 0.542, 0.250)
Pt (0.391, 0.609, 0.750)
Pt (0.609, 0.391, 0.250)

---

(9)
First-principles (PBE) data for a relaxed PrTm8Bi6 crystal, as listed in Alexandria via LeMat-Bulk.

Properties
DFT total energy (eV/atom): -4.72
Calculated volume (A^3/atom): 32.72
DOS at the Fermi energy (states/eV/atom): 0.632

Cell: 10.722 10.722 10.722 Å, 41.59 41.59 41.59°
Fractional positions:
Pr (0.000, 0.000, 0.000)
Tm (0.128, 0.800, 0.440)
Tm (0.200, 0.560, 0.872)
Tm (0.334, 0.334, 0.334)
Tm (0.440, 0.128, 0.800)
Tm (0.560, 0.872, 0.200)
Tm (0.666, 0.666, 0.666)
Tm (0.800, 0.440, 0.128)
Tm (0.872, 0.200, 0.560)
Bi (0.061, 0.411, 0.721)
Bi (0.279, 0.939, 0.589)
Bi (0.411, 0.721, 0.061)
Bi (0.589, 0.279, 0.939)
Bi (0.721, 0.061, 0.411)
Bi (0.939, 0.589, 0.279)

---

(10)
First-principles (PBE) data for a relaxed Ba5PPd crystal, as listed in Alexandria via LeMat-Bulk.

Properties
DFT total energy (eV/atom): -3.39
Calculated volume (A^3/atom): 48.63
DOS at the Fermi energy (states/eV/atom): 0.948

Cell: 8.688 4.527 17.310 Å, 90.00 90.19 90.00°
Fractional positions:
Ba (0.083, 0.250, 0.213)
Ba (0.131, 0.250, 0.591)
Ba (0.216, 0.750, 0.998)
Ba (0.379, 0.750, 0.417)
Ba (0.385, 0.250, 0.789)
Ba (0.615, 0.750, 0.211)
Ba (0.621, 0.250, 0.583)
Ba (0.784, 0.250, 0.002)
Ba (0.869, 0.750, 0.409)
Ba (0.917, 0.750, 0.787)
P (0.079, 0.250, 0.887)
P (0.921, 0.750, 0.113)
Pd (0.372, 0.750, 0.632)
Pd (0.628, 0.250, 0.368)

---

(11)
First-principles (PBE) data for a relaxed AcRe2N6 crystal, as listed in Alexandria via LeMat-Bulk.

Properties
E_form (uncorrected) (meV/atom): 123
Calculated volume (A^3/atom): 14.18
DOS at the Fermi energy (states/eV/atom): 0.311

Cell: 5.349 5.349 5.151 Å, 90.00 90.00 120.00°
Fractional positions:
Ac (0.000, 0.000, 0.000)
Re (0.333, 0.667, 0.500)
Re (0.667, 0.333, 0.500)
N (0.000, 0.432, 0.728)
N (0.000, 0.568, 0.272)
N (0.432, 0.000, 0.728)
N (0.432, 0.432, 0.272)
N (0.568, 0.000, 0.272)
N (0.568, 0.568, 0.728)

---

(12)
First-principles (PBE) data for a relaxed Sm3Er5As8 crystal, as listed in Alexandria via LeMat-Bulk.

Properties
DFT total energy (eV/atom): -6.15
Calculated volume (A^3/atom): 24.95
DOS at the Fermi energy (states/eV/atom): 0.159

Cell: 8.265 8.265 8.265 Å, 60.00 60.00 60.00°
Fractional positions:
Sm (0.000, 0.500, 0.500)
Sm (0.500, 0.000, 0.500)
Sm (0.500, 0.500, 0.000)
Er (0.000, 0.000, 0.000)
Er (0.000, 0.000, 0.500)
Er (0.000, 0.500, 0.000)
Er (0.500, 0.000, 0.000)
Er (0.500, 0.500, 0.500)
As (0.244, 0.750, 0.750)
As (0.247, 0.247, 0.247)
As (0.250, 0.250, 0.756)
As (0.250, 0.756, 0.250)
As (0.750, 0.244, 0.750)
As (0.750, 0.750, 0.244)
As (0.753, 0.753, 0.753)
As (0.756, 0.250, 0.250)

---

Which of these has the lowest DOS at the Fermi energy? SiH2Rh2